No. 1
## CuPdPbS3 (PBE-GGA)

Data for an optimized crystal structure of CuPdPbS3.

## Properties
VASP energy = -4.16 eV/atom

Unit cell a=5.523 b=6.102 c=8.306 alpha=105.80 beta=96.10 gamma=103.94
Sites, in units of the cell vectors:
S 0.822 0.646 0.577
S 0.454 0.907 0.251
S 0.898 0.992 0.719
S 0.102 0.008 0.281
S 0.546 0.093 0.749
S 0.178 0.354 0.423
Cu 0.698 0.484 0.777
Cu 0.302 0.516 0.223
Pb 0.776 0.470 0.129
Pb 0.224 0.530 0.871
Pd 0.000 0.000 0.000
Pd 0.500 0.000 0.000

No. 2
## Ho3Mg3AgIrPd (PBE-GGA)

Data for an optimized crystal structure of Ho3Mg3AgIrPd.

## Properties
VASP energy = -4.48 eV/atom

Unit cell a=7.506 b=7.506 c=3.996 alpha=90.00 beta=90.00 gamma=120.00
Sites, in units of the cell vectors:
Ag 0.000 0.000 0.000
Ho 0.427 0.017 0.000
Ho 0.983 0.410 0.000
Ho 0.590 0.573 0.000
Mg 0.745 0.999 0.500
Mg 0.254 0.255 0.500
Mg 0.001 0.746 0.500
Ir 0.667 0.333 0.500
Pd 0.333 0.667 0.500

No. 3
## TbDyCuSi3 (PBE-GGA)

Data for an optimized crystal structure of TbDyCuSi3.

## Properties
VASP energy = -5.61 eV/atom

Unit cell a=8.018 b=7.988 c=5.693 alpha=69.45 beta=68.88 gamma=41.67
Sites, in units of the cell vectors:
Si 0.831 0.831 0.169
Si 0.660 0.171 0.340
Si 0.169 0.169 0.831
Si 0.340 0.829 0.660
Si 0.171 0.660 0.829
Si 0.829 0.340 0.171
Tb 0.244 0.756 0.244
Tb 0.756 0.244 0.756
Cu 0.667 0.667 0.333
Cu 0.333 0.333 0.667
Dy 0.750 0.750 0.750
Dy 0.250 0.250 0.250

- Among the records above, which one has the lowest VASP energy?
  TbDyCuSi3